Entry 1:
Here is Pr2CdNi4Sb3 after structural relaxation from Alexandria via LeMat-Bulk. Energies are from PBE-GGA.

Values from the calculation:
E   -51.88 eV for the cell shown
M_tot   0.00 μB per formula unit
Raw formation energy   -591 meV/atom
Density of states at the Fermi level   0.579 states/eV/atom

```
data_Pr2CdNi4Sb3
_cell_length_a 4.422
_cell_length_b 4.422
_cell_length_c 10.237
_cell_angle_alpha 90.00
_cell_angle_beta 90.00
_cell_angle_gamma 90.00
_symmetry_space_group_name_H-M 'P -4 m 2'
_symmetry_Int_Tables_number 115
loop_
_symmetry_equiv_pos_as_xyz
'x,y,z'
'y,-x,-z'
'-x,-y,z'
'-y,x,-z'
'-x,y,z'
'-y,-x,-z'
'x,-y,z'
'y,x,-z'
loop_
_atom_site_label
_atom_site_type_symbol
_atom_site_fract_x
_atom_site_fract_y
_atom_site_fract_z
_atom_site_occupancy
Pr1 Pr 0.000 0.500 0.237 1
Cd1 Cd 0.000 0.000 0.500 1
Ni1 Ni 0.000 0.000 0.000 1
Ni2 Ni 0.000 0.500 0.631 1
Ni3 Ni 0.500 0.500 0.000 1
Sb1 Sb 0.000 0.500 0.872 1
Sb2 Sb 0.500 0.500 0.500 1
```

=====

Entry 2:
Here is Pr2CdNi3Sn4 after structural relaxation from Alexandria via LeMat-Bulk. Energies are from PBE-GGA.

Values from the calculation:
E   -48.61 eV for the cell shown
Energy relative to the elements   -0.4777 eV/atom
M_tot   0.00 μB per formula unit
Density of states at the Fermi level   0.515 states/eV/atom

```
data_Pr2CdNi3Sn4
_cell_length_a 4.494
_cell_length_b 4.494
_cell_length_c 10.745
_cell_angle_alpha 90.00
_cell_angle_beta 90.00
_cell_angle_gamma 90.00
_symmetry_space_group_name_H-M 'P -4 m 2'
_symmetry_Int_Tables_number 115
loop_
_symmetry_equiv_pos_as_xyz
'x,y,z'
'y,-x,-z'
'-x,-y,z'
'-y,x,-z'
'-x,y,z'
'-y,-x,-z'
'x,-y,z'
'y,x,-z'
loop_
_atom_site_label
_atom_site_type_symbol
_atom_site_fract_x
_atom_site_fract_y
_atom_site_fract_z
_atom_site_occupancy
Pr1 Pr 0.000 0.500 0.242 1
Cd1 Cd 0.000 0.000 0.500 1
Ni1 Ni 0.000 0.500 0.883 1
Ni2 Ni 0.500 0.500 0.500 1
Sn1 Sn 0.000 0.000 0.000 1
Sn2 Sn 0.000 0.500 0.651 1
Sn3 Sn 0.500 0.500 0.000 1
```